DFT (PBE) results for crystalline TiAgB at its relaxed geometry.

a b c (Å): 3.069 3.064 8.873
angles (deg): 90.00 96.04 90.00
Atoms (fractional coordinates):
1 Ti 0.000 0.000 0.000
2 Ti 0.305 0.000 0.286
3 Ag 0.442 0.500 0.785
4 Ag 0.875 0.000 0.563
5 B 0.757 0.500 0.169
6 B 0.828 0.500 0.361

Computed properties:
- DFT formation energy (eV/atom) = -0.02
- E (eV for the cell shown) = -35.0
- crystal system = monoclinic


DFT (PBE) results for crystalline TiAgB at its relaxed geometry.

a b c (Å): 3.003 4.271 6.988
angles (deg): 91.46 102.28 90.03
Atoms (fractional coordinates):
1 Ti 0.000 0.000 0.000
2 Ti 0.366 0.543 0.730
3 Ag 0.205 0.024 0.407
4 Ag 0.599 0.517 0.198
5 B 0.385 0.049 0.768
6 B 0.842 0.126 0.682

Computed properties:
- DFT formation energy (eV/atom) = -0.05
- E (eV for the cell shown) = -35.1
- crystal system = triclinic


DFT (PBE) results for crystalline TiAgB at its relaxed geometry.

a b c (Å): 3.185 4.681 5.701
angles (deg): 90.00 90.00 90.00
Atoms (fractional coordinates):
1 Ti 0.000 0.000 0.000
2 Ti 0.000 0.500 0.357
3 Ag 0.500 0.000 0.588
4 Ag 0.500 0.500 0.874
5 B 0.500 0.189 0.218
6 B 0.500 0.811 0.218

Computed properties:
- DFT formation energy (eV/atom) = -0.01
- E (eV for the cell shown) = -34.9
- crystal system = orthorhombic


DFT (PBE) results for crystalline TiAgB at its relaxed geometry.

a b c (Å): 3.242 4.408 6.771
angles (deg): 80.26 76.23 68.44
Atoms (fractional coordinates):
1 Ti 0.000 0.000 0.000
2 Ti 0.401 0.468 0.728
3 Ag 0.218 0.063 0.498
4 Ag 0.603 0.521 0.272
5 B 0.658 0.909 0.773
6 B 0.740 0.584 0.935

Computed properties:
- DFT formation energy (eV/atom) = -0.06
- E (eV for the cell shown) = -35.2
- crystal system = triclinic


DFT (PBE) results for crystalline TiAgB at its relaxed geometry.

a b c (Å): 10.321 10.321 10.321
angles (deg): 16.83 16.83 16.83
Atoms (fractional coordinates):
1 Ti 0.000 0.000 0.000
2 Ti 0.102 0.102 0.102
3 Ag 0.257 0.257 0.257
4 Ag 0.512 0.512 0.512
5 B 0.384 0.384 0.384
6 B 0.718 0.718 0.718

Computed properties:
- DFT formation energy (eV/atom) = -0.49
- E (eV for the cell shown) = -37.8
- crystal system = trigonal


DFT (PBE) results for crystalline TiAgB at its relaxed geometry.

a b c (Å): 5.543 2.834 10.777
angles (deg): 90.00 90.00 90.00
Atoms (fractional coordinates):
1 Ti 0.158 0.250 0.149
2 Ti 0.342 0.750 0.649
3 Ti 0.658 0.250 0.351
4 Ti 0.842 0.750 0.851
5 Ag 0.168 0.250 0.423
6 Ag 0.332 0.750 0.923
7 Ag 0.668 0.250 0.077
8 Ag 0.832 0.750 0.577
9 B 0.098 0.250 0.755
10 B 0.402 0.750 0.255
11 B 0.598 0.250 0.745
12 B 0.902 0.750 0.245

Computed properties:
- DFT formation energy (eV/atom) = 0.24
- E (eV for the cell shown) = -66.9
- crystal system = orthorhombic


DFT (PBE) results for crystalline TiAgB at its relaxed geometry.

a b c (Å): 6.452 6.452 4.754
angles (deg): 111.24 111.24 27.33
Atoms (fractional coordinates):
1 Ti 0.078 0.078 0.327
2 Ti 0.922 0.922 0.673
3 Ag 0.362 0.362 0.113
4 Ag 0.638 0.638 0.887
5 B 0.278 0.278 0.530
6 B 0.722 0.722 0.470

Computed properties:
- DFT formation energy (eV/atom) = -0.08
- E (eV for the cell shown) = -35.4
- crystal system = monoclinic


DFT (PBE) results for crystalline TiAgB at its relaxed geometry.

a b c (Å): 11.193 11.193 11.193
angles (deg): 15.16 15.16 15.16
Atoms (fractional coordinates):
1 Ti 0.109 0.109 0.109
2 Ti 0.891 0.891 0.891
3 Ag 0.370 0.370 0.370
4 Ag 0.630 0.630 0.630
5 B 0.175 0.175 0.175
6 B 0.825 0.825 0.825

Computed properties:
- DFT formation energy (eV/atom) = -0.10
- E (eV for the cell shown) = -35.4
- crystal system = trigonal


DFT (PBE) results for crystalline TiAgB at its relaxed geometry.

a b c (Å): 5.508 5.508 5.507
angles (deg): 118.62 118.62 36.00
Atoms (fractional coordinates):
1 Ti 0.000 0.000 0.000
2 Ti 0.213 0.213 0.620
3 Ag 0.471 0.471 0.568
4 Ag 0.755 0.755 0.132
5 B 0.399 0.399 0.084
6 B 0.591 0.591 0.312

Computed properties:
- DFT formation energy (eV/atom) = 0.04
- E (eV for the cell shown) = -34.6
- crystal system = monoclinic


DFT (PBE) results for crystalline Ti3AgB at its relaxed geometry.

a b c (Å): 4.295 4.295 4.295
angles (deg): 90.00 90.00 90.00
Atoms (fractional coordinates):
1 Ti 0.000 0.000 0.500
2 Ti 0.000 0.500 0.000
3 Ti 0.500 0.000 0.000
4 Ag 0.500 0.500 0.500
5 B 0.000 0.000 0.000

Computed properties:
- DFT formation energy (eV/atom) = -0.10
- E (eV for the cell shown) = -33.7
- crystal system = cubic
- ΔE to the lowest computed polymorph (eV per atom) = 0.0000


DFT (PBE) results for crystalline TiAgB at its relaxed geometry.

a b c (Å): 4.238 4.238 5.161
angles (deg): 90.00 90.00 120.00
Atoms (fractional coordinates):
1 Ti 0.333 0.667 0.250
2 Ti 0.667 0.333 0.750
3 Ag 0.000 0.000 0.000
4 Ag 0.000 0.000 0.500
5 B 0.333 0.667 0.750
6 B 0.667 0.333 0.250

Computed properties:
- DFT formation energy (eV/atom) = 0.28
- E (eV for the cell shown) = -33.1
- crystal system = hexagonal


DFT (PBE) results for crystalline TiAgB at its relaxed geometry.

a b c (Å): 3.679 3.679 8.761
angles (deg): 90.00 90.00 120.00
Atoms (fractional coordinates):
1 Ti 0.000 0.000 0.000
2 Ti 0.000 0.000 0.500
3 Ag 0.333 0.667 0.250
4 Ag 0.667 0.333 0.750
5 B 0.000 0.000 0.250
6 B 0.000 0.000 0.750

Computed properties:
- DFT formation energy (eV/atom) = 0.82
- E (eV for the cell shown) = -29.9
- crystal system = hexagonal